[1]
Material: PmCdRh
Method: DFT, PBE-GGA
State: optimized geometry

Calculated values
- calculated formation energy (meV per atom) = -430
- space group = P4_2/m (84)

The structure in POSCAR format:
```
PmCdRh
1.0
-2.823 0.496 3.151
6.004 -0.893 5.518
1.303 8.099 -0.107
Cd Pm Rh
4 4 4
Direct
0.000 0.846 0.882
0.500 0.118 0.846
0.500 0.882 0.154
0.000 0.154 0.118
0.000 0.427 0.791
0.500 0.791 0.573
0.000 0.573 0.209
0.500 0.209 0.427
0.000 0.086 0.634
0.500 0.634 0.914
0.000 0.914 0.366
0.500 0.366 0.086
```


[2]
Material: Zr7Te
Method: DFT, PBE-GGA
State: optimized geometry

Calculated values
- formation energy (no corrections) (eV/atom) = -0.17
- space group = Fm-3m (225)

The structure in POSCAR format:
```
Zr7Te
1.0
6.350 0.000 0.000
3.175 5.499 0.000
3.175 1.833 5.185
Zr Te
7 1
Direct
0.000 0.500 0.000
0.500 0.500 0.500
0.500 0.000 0.000
0.000 0.500 0.500
0.500 0.000 0.500
0.500 0.500 0.000
0.000 0.000 0.500
0.000 0.000 0.000
```


[3]
Material: KTl2IrF8
Method: DFT, PBE-GGA
State: optimized geometry

Calculated values
- formation energy (no corrections) (eV/atom) = -1.86
- space group = P2/m (10)

The structure in POSCAR format:
```
KTl2IrF8
1.0
4.839 -0.355 -0.002
-0.339 6.167 -0.006
0.004 0.009 7.883
F Tl Ir K
8 2 1 1
Direct
0.360 0.168 0.000
0.089 0.802 0.180
0.640 0.832 0.000
0.911 0.198 0.820
0.911 0.198 0.180
0.089 0.802 0.820
0.477 0.264 0.500
0.523 0.736 0.500
0.500 0.500 0.748
0.500 0.500 0.252
0.000 0.000 0.000
0.000 0.000 0.500
```


[4]
Material: NaNdSe
Method: DFT, PBE-GGA
State: optimized geometry

Calculated values
- formation energy (no corrections) (eV/atom) = -0.85
- space group = C2/m (12)

The structure in POSCAR format:
```
NaNdSe
1.0
3.824 0.000 0.000
0.000 10.516 0.497
-1.912 -0.576 9.325
Na Nd Se
4 4 4
Direct
0.728 0.874 0.456
0.728 0.374 0.457
0.272 0.126 0.544
0.272 0.626 0.543
0.426 0.854 0.852
0.424 0.398 0.848
0.574 0.146 0.148
0.576 0.602 0.152
0.058 0.371 0.117
0.942 0.629 0.883
0.577 0.876 0.155
0.423 0.124 0.845
```


[5]
Material: Ti2BH
Method: DFT, PBE-GGA
State: optimized geometry

Calculated values
- space group = P2_1/m (11)
- uncorrected energy (eV per atom) = -6.88

The structure in POSCAR format:
```
Ti2BH
1.0
4.387 0.001 0.004
0.000 3.234 -0.001
-0.014 0.002 6.047
Ti B H
4 2 2
Direct
0.701 0.733 0.719
0.201 0.233 0.497
0.701 0.733 0.228
0.201 0.233 0.988
0.701 0.233 0.464
0.201 0.733 0.752
0.702 0.233 0.982
0.200 0.733 0.234
```


[6]
Material: ZnRuRh
Method: DFT, PBE-GGA
State: optimized geometry

Calculated values
- calculated formation energy (meV per atom) = -32
- space group = Imm2 (44)

The structure in POSCAR format:
```
ZnRuRh
1.0
-1.678 3.641 2.339
-4.454 0.004 1.307
4.055 -2.243 0.261
Rh Zn Ru
1 1 1
Direct
0.999 0.999 0.000
0.667 0.667 0.000
0.334 0.334 0.000
```


Number 1: magnetic moment 0.0000 μB/atom, volume 23.89 A^3/atom. Number 2: magnetic moment 0.0000 μB/atom, volume 22.63 A^3/atom. Number 3: magnetic moment 0.1468 μB/atom, volume 19.52 A^3/atom. Number 4: magnetic moment 0.0002 μB/atom, volume 31.34 A^3/atom. Number 5: magnetic moment 0.0002 μB/atom, volume 10.72 A^3/atom. Number 6: magnetic moment 0.0000 μB/atom, volume 13.98 A^3/atom.